VASP calculation (GGA+U) on crystalline Li4Mn2TeWO12 at its relaxed geometry.

Results
The space group is P1. The calculation puts the total energy at -6.26 eV per atom.

Cell: 5.082 5.327 7.362 Å, 86.28 89.97 89.99°
Fractional coordinates of all 20 atoms:
Li (0.000, 0.000, 0.000)
Li (0.007, 0.002, 0.496)
Li (0.496, 0.496, 0.999)
Li (0.503, 0.502, 0.496)
Mn (0.002, 0.570, 0.284)
Mn (0.501, 0.072, 0.783)
Te (0.000, 0.573, 0.784)
W (0.503, 0.070, 0.284)
O (0.131, 0.596, 0.536)
O (0.185, 0.892, 0.235)
O (0.198, 0.274, 0.862)
O (0.303, 0.775, 0.860)
O (0.315, 0.393, 0.235)
O (0.386, 0.088, 0.539)
O (0.618, 0.088, 0.036)
O (0.678, 0.399, 0.729)
O (0.698, 0.771, 0.350)
O (0.809, 0.273, 0.349)
O (0.822, 0.898, 0.729)
O (0.873, 0.594, 0.036)